# 1
# YHF PBE-GGA relaxed
# calculated total energy: -17.1 eV per formula unit
# size of the total moment: 0.12 μB per formula unit
# E above lowest polymorph: 332 meV/atom
# density of states at the Fermi level: 0.390 states/eV per atom
data_YHF
_chemical_formula_sum 'Y1 H1 F1'
_cell_length_a 3.8595
_cell_length_b 3.8595
_cell_length_c 3.5319
_cell_angle_alpha 90.00
_cell_angle_beta 90.00
_cell_angle_gamma 120.00
_symmetry_space_group_name_H-M 'P 3 m 1'
_symmetry_Int_Tables_number 156
loop_
_symmetry_equiv_pos_as_xyz
'x,y,z'
'-y,x-y,z'
'-x+y,-x,z'
'-y,-x,z'
'-x+y,y,z'
'x,x-y,z'
loop_
_atom_site_label
_atom_site_fract_x
_atom_site_fract_y
_atom_site_fract_z
Y1 0.0000 0.0000 0.0000
H1 0.6667 0.3333 0.1995
F1 0.3333 0.6667 0.8395

=====

# 2
# YHF4 PBE-GGA relaxed
# calculated total energy: -36.5 eV per formula unit
# size of the total moment: 0.00 μB per formula unit
# density of states at the Fermi level: 0.000 states/eV per atom
data_YHF4
_chemical_formula_sum 'Y2 H2 F8'
_cell_length_a 4.389
_cell_length_b 6.946
_cell_length_c 5.312
_cell_angle_alpha 90.00
_cell_angle_beta 105.55
_cell_angle_gamma 90.00
_symmetry_space_group_name_H-M 'P 1 21/m 1'
_symmetry_Int_Tables_number 11
loop_
_symmetry_equiv_pos_as_xyz
'x,y,z'
'-x,-y,-z'
'-x,y+1/2,-z'
'x,-y+1/2,z'
loop_
_atom_site_label
_atom_site_fract_x
_atom_site_fract_y
_atom_site_fract_z
Y1 0.091 0.250 0.121
H1 0.438 0.750 0.362
F1 0.134 0.564 0.226
F2 0.333 0.250 0.582
F3 0.394 0.750 0.834

=====

# 3
# YHF PBE-GGA relaxed
# calculated total energy: -17.8 eV per formula unit
# size of the total moment: 0.00 μB per formula unit
# E above lowest polymorph: 77 meV/atom
# density of states at the Fermi level: 0.182 states/eV per atom
data_YHF
_chemical_formula_sum 'Y4 H4 F4'
_cell_length_a 3.629
_cell_length_b 3.629
_cell_length_c 11.693
_cell_angle_alpha 90.00
_cell_angle_beta 90.00
_cell_angle_gamma 90.00
_symmetry_space_group_name_H-M 'I 4/m m m'
_symmetry_Int_Tables_number 139
_symmetry_space_group_name_Hall '-I 4 2'
loop_
_atom_site_label
_atom_site_fract_x
_atom_site_fract_y
_atom_site_fract_z
Y1 0.000 0.000 0.140
H1 0.000 0.500 0.250
F1 0.000 0.500 0.000

=====

# 4
# Y3HF PBE-GGA relaxed
# calculated total energy: -26.3 eV per formula unit
# size of the total moment: 0.00 μB per formula unit
# E above lowest polymorph: 0 meV/atom
# density of states at the Fermi level: 1.363 states/eV per atom
data_Y3HF
_chemical_formula_sum 'Y3 H1 F1'
_cell_length_a 4.814
_cell_length_b 4.814
_cell_length_c 4.814
_cell_angle_alpha 90.00
_cell_angle_beta 90.00
_cell_angle_gamma 90.00
_symmetry_space_group_name_H-M 'P m -3 m'
_symmetry_Int_Tables_number 221
_symmetry_space_group_name_Hall '-P 4 2 3'
loop_
_atom_site_label
_atom_site_fract_x
_atom_site_fract_y
_atom_site_fract_z
Y1 0.000 0.000 0.500
H1 0.000 0.000 0.000
F1 0.500 0.500 0.500

=====

# 5
# YHF PBE-GGA relaxed
# calculated total energy: -18.1 eV per formula unit
# size of the total moment: 0.00 μB per formula unit
# E above lowest polymorph: 0 meV/atom
# density of states at the Fermi level: 0.382 states/eV per atom
data_YHF
_chemical_formula_sum 'Y2 H2 F2'
_cell_length_a 3.689
_cell_length_b 3.689
_cell_length_c 5.688
_cell_angle_alpha 90.00
_cell_angle_beta 90.00
_cell_angle_gamma 90.00
_symmetry_space_group_name_H-M 'P 4/n m m'
_symmetry_Int_Tables_number 129
loop_
_symmetry_equiv_pos_as_xyz
'x,y,z'
'-x,-y,-z'
'-y+1/2,x,z'
'y+1/2,-x,-z'
'-x+1/2,-y+1/2,z'
'x+1/2,y+1/2,-z'
'y,-x+1/2,z'
'-y,x+1/2,-z'
'x+1/2,-y,-z'
'-x+1/2,y,z'
'-y,-x,-z'
'y,x,z'
'-x,y+1/2,-z'
'x,-y+1/2,z'
'y+1/2,x+1/2,-z'
'-y+1/2,-x+1/2,z'
loop_
_atom_site_label
_atom_site_fract_x
_atom_site_fract_y
_atom_site_fract_z
Y1 0.250 0.250 0.225
H1 0.250 0.750 0.000
F1 0.250 0.750 0.500

=====

# 6
# YHF PBE-GGA relaxed
# calculated total energy: -16.7 eV per formula unit
# size of the total moment: 0.31 μB per formula unit
# E above lowest polymorph: 439 meV/atom
# density of states at the Fermi level: 0.380 states/eV per atom
data_YHF
_chemical_formula_sum 'Y2 H2 F2'
_cell_length_a 3.226
_cell_length_b 3.226
_cell_length_c 7.150
_cell_angle_alpha 90.00
_cell_angle_beta 90.00
_cell_angle_gamma 90.00
_symmetry_space_group_name_H-M 'I 4 m m'
_symmetry_Int_Tables_number 107
_symmetry_space_group_name_Hall 'I 4 -2'
loop_
_atom_site_label
_atom_site_fract_x
_atom_site_fract_y
_atom_site_fract_z
Y1 0.000 0.000 0.000
H1 0.000 0.000 0.368
F1 0.000 0.000 0.681

=====

# 7
# Y2HF PBE-GGA relaxed
# calculated total energy: -23.4 eV per formula unit
# size of the total moment: 0.00 μB per formula unit
# E above lowest polymorph: 56 meV/atom
# density of states at the Fermi level: 0.131 states/eV per atom
data_Y2HF
_chemical_formula_sum 'Y6 H3 F3'
_cell_length_a 3.6437
_cell_length_b 3.6437
_cell_length_c 21.5410
_cell_angle_alpha 90.00
_cell_angle_beta 90.00
_cell_angle_gamma 120.00
_symmetry_space_group_name_H-M 'R -3 m'
_symmetry_Int_Tables_number 166
_symmetry_space_group_name_Hall '-R 3 2"'
loop_
_atom_site_label
_atom_site_fract_x
_atom_site_fract_y
_atom_site_fract_z
Y1 0.0000 0.0000 0.1018
H1 0.0000 0.0000 0.5000
F1 0.0000 0.0000 0.0000

=====

# 8
# Y2HF PBE-GGA relaxed
# calculated total energy: -23.7 eV per formula unit
# size of the total moment: 0.65 μB per formula unit
# E above lowest polymorph: 0 meV/atom
# density of states at the Fermi level: 0.663 states/eV per atom
data_Y2HF
_chemical_formula_sum 'Y8 H4 F4'
_cell_length_a 5.385
_cell_length_b 5.385
_cell_length_c 10.643
_cell_angle_alpha 90.00
_cell_angle_beta 90.00
_cell_angle_gamma 90.00
_symmetry_space_group_name_H-M 'I -4 2 d'
_symmetry_Int_Tables_number 122
_symmetry_space_group_name_Hall 'I -4 2bw'
loop_
_atom_site_label
_atom_site_fract_x
_atom_site_fract_y
_atom_site_fract_z
Y1 0.235 0.250 0.125
H1 0.000 0.000 0.000
F1 0.000 0.000 0.500